VASP calculation (PBE-GGA) on a geometry-optimized Pu2AgOs structure.

Cell: 5.1206 5.1206 3.2361 Å, 90.00 90.00 90.00°
Last column: nearest neighbours and their distance in Å.
Space group P4/mmm (No. 123)
One atom of each set of equivalent atoms:
Pu  0.0000  0.5000  0.0000  4 Os 3.03, 4 Ag 3.03, 2 Pu 3.24
Ag  0.0000  0.0000  0.5000  8 Pu 3.03, 2 Ag 3.24
Os  0.5000  0.5000  0.5000  8 Pu 3.03, 2 Os 3.24

Properties
formation energy from the elements	132	meV/atom
magnetization	2.539	μB/atom
density of states at the Fermi level	2.918	states/eV/atom


VASP calculation (PBE-GGA) on a geometry-optimized Pu3AgOs structure.

Cell: 6.9981 6.9981 6.9981 Å, 90.00 90.00 90.00°
Last column: nearest neighbours and their distance in Å.
Space group Pm-3m (No. 221)
One atom of each set of equivalent atoms:
Pu  0.0000  0.0000  0.0000  8 Pu 3.27, 6 Ag 3.50
Pu  0.2702  0.2702  0.2702  3 Os 2.96, 3 Ag 3.12, 4 Pu 3.22-3.27
Ag  0.0000  0.0000  0.5000  8 Pu 3.12
Os  0.0000  0.5000  0.5000  8 Pu 2.96

Properties
formation energy from the elements	128	meV/atom
magnetization	3.267	μB/atom
density of states at the Fermi level	3.800	states/eV/atom


VASP calculation (PBE-GGA) on a geometry-optimized SmPuAgOs structure.

Cell: 7.0778 7.0778 7.0778 Å, 90.00 90.00 90.00°
Last column: nearest neighbours and their distance in Å.
Space group F-43m (No. 216)
One atom of each set of equivalent atoms:
Sm  0.0000  0.0000  0.0000  4 Ag 3.06, 4 Os 3.06
Pu  0.0000  0.0000  0.5000  4 Os 3.06, 4 Ag 3.06
Ag  0.2500  0.2500  0.7500  4 Sm 3.06, 4 Pu 3.06
Os  0.2500  0.2500  0.2500  4 Sm 3.06, 4 Pu 3.06

Properties
formation energy from the elements	10	meV/atom
magnetization	1.378	μB/atom
density of states at the Fermi level	2.540	states/eV/atom


VASP calculation (PBE-GGA) on a geometry-optimized TbPuAgOs structure.

Cell: 7.0205 7.0205 7.0205 Å, 90.00 90.00 90.00°
Last column: nearest neighbours and their distance in Å.
Space group F-43m (No. 216)
One atom of each set of equivalent atoms:
Tb  0.0000  0.0000  0.0000  4 Os 3.04, 4 Ag 3.04
Pu  0.0000  0.0000  0.5000  4 Ag 3.04, 4 Os 3.04
Ag  0.2500  0.2500  0.7500  4 Tb 3.04, 4 Pu 3.04
Os  0.2500  0.2500  0.2500  4 Tb 3.04, 4 Pu 3.04

Properties
formation energy from the elements	-39	meV/atom
magnetization	1.380	μB/atom
density of states at the Fermi level	2.464	states/eV/atom


VASP calculation (PBE-GGA) on a geometry-optimized PuThAgOs structure.

Cell: 7.1490 7.1490 7.1490 Å, 90.00 90.00 90.00°
Last column: nearest neighbours and their distance in Å.
Space group F-43m (No. 216)
One atom of each set of equivalent atoms:
Pu  0.0000  0.0000  0.0000  4 Os 3.10, 4 Ag 3.10
Th  0.0000  0.0000  0.5000  4 Ag 3.10, 4 Os 3.10
Ag  0.2500  0.2500  0.7500  4 Th 3.10, 4 Pu 3.10
Os  0.2500  0.2500  0.2500  4 Th 3.10, 4 Pu 3.10

Properties
formation energy from the elements	-11	meV/atom
magnetization	1.405	μB/atom
density of states at the Fermi level	2.810	states/eV/atom


VASP calculation (PBE-GGA) on a geometry-optimized YPuAgOs structure.

Cell: 7.0173 7.0173 7.0173 Å, 90.00 90.00 90.00°
Last column: nearest neighbours and their distance in Å.
Space group F-43m (No. 216)
One atom of each set of equivalent atoms:
Y  0.0000  0.0000  0.0000  4 Os 3.04, 4 Ag 3.04
Pu  0.0000  0.0000  0.5000  4 Os 3.04, 4 Ag 3.04
Ag  0.2500  0.2500  0.2500  4 Pu 3.04, 4 Y 3.04
Os  0.2500  0.2500  0.7500  4 Pu 3.04, 4 Y 3.04

Properties
formation energy from the elements	-36	meV/atom
magnetization	1.381	μB/atom
density of states at the Fermi level	2.457	states/eV/atom


VASP calculation (PBE-GGA) on a geometry-optimized Rb3AgOs structure.

Cell: 6.4171 6.4171 6.4171 Å, 90.00 90.00 90.00°
Last column: nearest neighbours and their distance in Å.
Space group Pm-3m (No. 221)
One atom of each set of equivalent atoms:
Rb  0.0000  0.0000  0.5000  2 Os 3.21
Ag  0.5000  0.5000  0.5000  12 Rb 4.54
Os  0.0000  0.0000  0.0000  6 Rb 3.21

Properties
formation energy from the elements	1164	meV/atom
energy above the most stable polymorph in this dataset	0.0000	eV per atom
magnetization	0.400	μB/atom
density of states at the Fermi level	0.000	states/eV/atom


VASP calculation (PBE-GGA) on a geometry-optimized Rb2AgOs structure.

Cell: 12.5911 12.5911 5.2028 Å, 90.00 90.00 90.00°
Last column: nearest neighbours and their distance in Å.
Space group I-42d (No. 122)
One atom of each set of equivalent atoms:
Rb  0.0516  0.2500  0.1250  2 Os 3.28
Ag  0.0000  0.0000  0.5000  2 Os 2.60
Os  0.0000  0.0000  0.0000  2 Ag 2.60

Properties
formation energy from the elements	1290	meV/atom
energy above the most stable polymorph in this dataset	0.0000	eV per atom
magnetization	0.516	μB/atom
density of states at the Fermi level	1.138	states/eV/atom


VASP calculation (PBE-GGA) on a geometry-optimized RbAgOs2 structure.

Cell: 4.6227 4.6227 19.9731 Å, 90.00 90.00 90.00°
Last column: nearest neighbours and their distance in Å.
Space group I-42d (No. 122)
One atom of each set of equivalent atoms:
Rb  0.0000  0.0000  0.0000  4 Ag 3.27, 4 Os 3.43
Ag  0.0000  0.0000  0.5000  4 Os 2.76
Os  0.0561  0.7500  0.6250  2 Os 2.37

Properties
formation energy from the elements	1554	meV/atom
energy above the most stable polymorph in this dataset	0.0000	eV per atom
magnetization	0.000	μB/atom
density of states at the Fermi level	1.024	states/eV/atom


VASP calculation (PBE-GGA) on a geometry-optimized RbAgOs3 structure.

Cell: 5.0492 5.0492 5.0492 Å, 90.00 90.00 90.00°
Last column: nearest neighbours and their distance in Å.
Space group Pm-3m (No. 221)
One atom of each set of equivalent atoms:
Rb  0.0000  0.0000  0.0000  12 Os 3.57
Ag  0.5000  0.5000  0.5000  6 Os 2.52
Os  0.0000  0.5000  0.5000  2 Ag 2.52

Properties
formation energy from the elements	2952	meV/atom
energy above the most stable polymorph in this dataset	0.0000	eV per atom
magnetization	1.491	μB/atom
density of states at the Fermi level	1.692	states/eV/atom


VASP calculation (PBE-GGA) on a geometry-optimized Rb2AgOs structure.

Cell: 8.3769 8.3769 8.3769 Å, 90.00 90.00 90.00°
Last column: nearest neighbours and their distance in Å.
Space group Fm-3m (No. 225)
One atom of each set of equivalent atoms:
Rb  0.2500  0.2500  0.2500  4 Ag 3.63, 4 Os 3.63
Ag  0.0000  0.0000  0.0000  8 Rb 3.63
Os  0.0000  0.0000  0.5000  8 Rb 3.63

Properties
formation energy from the elements	1501	meV/atom
energy above the most stable polymorph in this dataset	0.2106	eV per atom
magnetization	0.744	μB/atom
density of states at the Fermi level	1.394	states/eV/atom


VASP calculation (PBE-GGA) on a geometry-optimized RbAgOs3 structure.

Cell: 4.7885 4.7885 4.7885 Å, 90.00 90.00 90.00°
Last column: nearest neighbours and their distance in Å.
Space group Pm-3m (No. 221)
One atom of each set of equivalent atoms:
Rb  0.0000  0.0000  0.0000  6 Os 2.39
Ag  0.5000  0.5000  0.5000  12 Os 3.39
Os  0.0000  0.0000  0.5000  2 Rb 2.39

Properties
formation energy from the elements	4045	meV/atom
energy above the most stable polymorph in this dataset	1.0929	eV per atom
magnetization	0.916	μB/atom
density of states at the Fermi level	1.180	states/eV/atom


> What is the formula in the seventh record?

Rb3AgOs


> Look up the formation energy from the elements of the twelfth one.

4045 meV/atom


> Which of these has the highest magnetization?

Pu3AgOs


> Look up the density of states at the Fermi level of the fourth one.

2.464 states/eV/atom